Entry 1:
A relaxed ScIn2Hg crystal. Source: the Alexandria database, functional PBE.

Cell lengths 8.1017, 8.1017, 6.1474 Å; angles 90.00, 90.00, 90.00 degrees
With the nearest neighbours (Å) after each atom.
Element x y z (fractional)
Sc (0.0000, 0.0000, 0.0000)  4 In 3.06, 2 Hg 3.07
Sc (0.0000, 0.5000, 0.2500)  4 In 3.06, 2 Hg 3.07
Sc (0.5000, 0.0000, 0.7500)  4 In 3.06, 2 Hg 3.07
Sc (0.5000, 0.5000, 0.5000)  4 In 3.06, 2 Hg 3.07
In (0.2338, 0.2500, 0.6250)  2 Hg 2.88, 2 Sc 3.06, 2 In 3.08
In (0.2500, 0.7338, 0.8750)  2 Hg 2.88, 2 Sc 3.06, 2 In 3.08
In (0.2500, 0.7662, 0.3750)  2 Hg 2.88, 2 Sc 3.06, 2 In 3.08
In (0.2662, 0.2500, 0.1250)  2 Hg 2.88, 2 Sc 3.06, 2 In 3.08
In (0.7338, 0.7500, 0.1250)  2 Hg 2.88, 2 Sc 3.06, 2 In 3.08
In (0.7500, 0.2338, 0.3750)  2 Hg 2.88, 2 Sc 3.06, 2 In 3.08
In (0.7500, 0.2662, 0.8750)  2 Hg 2.88, 2 Sc 3.06, 2 In 3.08
In (0.7662, 0.7500, 0.6250)  2 Hg 2.88, 2 Sc 3.06, 2 In 3.08
Hg (0.0000, 0.0000, 0.5000)  4 In 2.88, 2 Sc 3.07
Hg (0.0000, 0.5000, 0.7500)  4 In 2.88, 2 Sc 3.07
Hg (0.5000, 0.0000, 0.2500)  4 In 2.88, 2 Sc 3.07
Hg (0.5000, 0.5000, 0.0000)  4 In 2.88, 2 Sc 3.07

density of states at the Fermi level: 11.763 states/eV per cell
DFT formation energy: -0.06 eV per atom
magnetic moment: 0.0 μB per formula unit

=====

Entry 2:
A relaxed Mg2FeBr crystal. Source: the Alexandria database, functional PBE.

Cell lengths 4.5597, 4.5720, 7.5591 Å; angles 90.00, 90.00, 90.00 degrees
With the nearest neighbours (Å) after each atom.
Element x y z (fractional)
Mg (0.0000, 0.0000, 0.2146)  4 Fe 2.80
Mg (0.0000, 0.0000, 0.7854)  4 Fe 2.80
Mg (0.5000, 0.5000, 0.2146)  4 Fe 2.80
Mg (0.5000, 0.5000, 0.7854)  4 Fe 2.80
Fe (0.0000, 0.5000, 0.0000)  8 Mg 2.80
Fe (0.5000, 0.0000, 0.0000)  8 Mg 2.80
Br (0.0000, 0.5000, 0.5000)  8 Mg 3.14, 4 Br 3.23
Br (0.5000, 0.0000, 0.5000)  8 Mg 3.14, 4 Br 3.23

density of states at the Fermi level: 5.453 states/eV per cell
polymorph energy (0 for the lowest one): 43.5 meV per atom
magnetic moment: 2.3 μB per formula unit
E_form (uncorrected): -0.04 eV per atom